Density functional theory data (PBE) for crystalline CsErSi2O6 at its relaxed geometry.

Computed properties:
Raw formation energy: -2.84 eV per atom
Space-group type: No. 15

abc: 7.2351 7.2351 5.5966
angles: 98.39 98.39 87.28
Element x y z (fractional)
1 Cs 0.1854 0.8146 0.7500
2 Cs 0.8146 0.1854 0.2500
3 Er 0.3841 0.6159 0.2500
4 Er 0.6159 0.3841 0.7500
5 Si 0.1437 0.3031 0.8136
6 Si 0.3031 0.1437 0.3136
7 Si 0.6969 0.8563 0.6864
8 Si 0.8563 0.6969 0.1864
9 O 0.0718 0.6228 0.2316
10 O 0.1683 0.1789 0.0494
11 O 0.1789 0.1683 0.5494
12 O 0.3236 0.4425 0.8773
13 O 0.3772 0.9282 0.2684
14 O 0.4425 0.3236 0.3773
15 O 0.5575 0.6764 0.6227
16 O 0.6228 0.0718 0.7316
17 O 0.6764 0.5575 0.1227
18 O 0.8211 0.8317 0.4506
19 O 0.8317 0.8211 0.9506
20 O 0.9282 0.3772 0.7684

***

Density functional theory data (PBE) for crystalline CsErSiO4 at its relaxed geometry.

Computed properties:
Raw formation energy: -2.90 eV per atom
Space-group type: No. 11

abc: 5.5798 5.7836 8.0830
angles: 90.00 108.67 90.00
Element x y z (fractional)
1 Cs 0.1971 0.2500 0.4301
2 Cs 0.8029 0.7500 0.5699
3 Er 0.2880 0.2500 0.9634
4 Er 0.7120 0.7500 0.0366
5 Si 0.2552 0.7500 0.1448
6 Si 0.7448 0.2500 0.8552
7 O 0.0526 0.7500 0.9454
8 O 0.0797 0.7500 0.2727
9 O 0.4530 0.5286 0.1624
10 O 0.4530 0.9714 0.1624
11 O 0.5470 0.0286 0.8376
12 O 0.5470 0.4714 0.8376
13 O 0.9203 0.2500 0.7273
14 O 0.9474 0.2500 0.0546

***

Density functional theory data (PBE) for crystalline Cs3Sm2ErO6 at its relaxed geometry.

Computed properties:
Raw formation energy: -2.58 eV per atom
Space-group type: No. 12

abc: 6.2525 6.2525 7.2202
angles: 98.29 98.29 120.00
Element x y z (fractional)
1 Cs 0.0000 0.0000 0.0000
2 Cs 0.3339 0.6661 0.0000
3 Cs 0.6661 0.3339 0.0000
4 Sm 0.1667 0.8333 0.5000
5 Sm 0.8333 0.1667 0.5000
6 Er 0.5000 0.5000 0.5000
7 O 0.1204 0.4447 0.3341
8 O 0.2311 0.2311 0.6664
9 O 0.4447 0.1204 0.3341
10 O 0.5553 0.8796 0.6659
11 O 0.7689 0.7689 0.3336
12 O 0.8796 0.5553 0.6659

***

Density functional theory data (PBE) for crystalline Cs4Sm3ErO8 at its relaxed geometry.

Computed properties:
Raw formation energy: -2.57 eV per atom
Space-group type: No. 166

abc: 8.0843 8.0843 8.0843
angles: 53.22 53.22 53.22
Element x y z (fractional)
1 Cs 0.0000 0.0000 0.0000
2 Cs 0.0000 0.5000 0.5000
3 Cs 0.5000 0.0000 0.5000
4 Cs 0.5000 0.5000 0.0000
5 Sm 0.0000 0.0000 0.5000
6 Sm 0.0000 0.5000 0.0000
7 Sm 0.5000 0.0000 0.0000
8 Er 0.5000 0.5000 0.5000
9 O 0.2225 0.2225 0.2225
10 O 0.2302 0.7180 0.7180
11 O 0.2820 0.2820 0.7698
12 O 0.2820 0.7698 0.2820
13 O 0.7180 0.2302 0.7180
14 O 0.7180 0.7180 0.2302
15 O 0.7698 0.2820 0.2820
16 O 0.7775 0.7775 0.7775

***

Density functional theory data (PBE) for crystalline CsErSnO3 at its relaxed geometry.

Computed properties:
Raw formation energy: -2.26 eV per atom
Space-group type: No. 11

abc: 7.7261 3.4888 10.1464
angles: 90.00 95.04 90.00
Element x y z (fractional)
1 Cs 0.1561 0.2500 0.2141
2 Cs 0.8439 0.7500 0.7859
3 Er 0.3982 0.2500 0.8753
4 Er 0.6018 0.7500 0.1247
5 Sn 0.2602 0.7500 0.6007
6 Sn 0.7398 0.2500 0.3993
7 O 0.1666 0.2500 0.7072
8 O 0.3428 0.7500 0.0071
9 O 0.4677 0.7500 0.7423
10 O 0.5323 0.2500 0.2577
11 O 0.6572 0.2500 0.9929
12 O 0.8334 0.7500 0.2928

***

Density functional theory data (PBE) for crystalline CsErTc2O8 at its relaxed geometry.

Computed properties:
Raw formation energy: -1.95 eV per atom
Space-group type: No. 147

abc: 6.0064 6.0064 8.4341
angles: 90.00 90.00 120.00
Element x y z (fractional)
1 Cs 0.0000 0.0000 0.0000
2 Er 0.0000 0.0000 0.5000
3 Tc 0.3333 0.6667 0.7302
4 Tc 0.6667 0.3333 0.2698
5 O 0.1679 0.3411 0.6590
6 O 0.1731 0.8321 0.6590
7 O 0.3333 0.6667 0.9377
8 O 0.3411 0.1731 0.3410
9 O 0.6589 0.8269 0.6590
10 O 0.6667 0.3333 0.0623
11 O 0.8269 0.1679 0.3410
12 O 0.8321 0.6589 0.3410

***

Density functional theory data (PBE) for crystalline CsEr3Te4O12 at its relaxed geometry.

Computed properties:
Raw formation energy: -1.81 eV per atom
Space-group type: No. 155

abc: 7.3417 7.3417 7.3417
angles: 103.34 103.34 103.34
Element x y z (fractional)
1 Cs 0.0000 0.0000 0.0000
2 Er 0.0000 0.5756 0.4244
3 Er 0.4244 0.0000 0.5756
4 Er 0.5756 0.4244 0.0000
5 Te 0.0936 0.5000 0.9064
6 Te 0.5000 0.5000 0.5000
7 Te 0.5000 0.9064 0.0936
8 Te 0.9064 0.0936 0.5000
9 O 0.0654 0.2955 0.4075
10 O 0.0749 0.9251 0.5000
11 O 0.2955 0.4075 0.0654
12 O 0.3215 0.6785 0.5000
13 O 0.4075 0.0654 0.2955
14 O 0.5000 0.0749 0.9251
15 O 0.5000 0.3215 0.6785
16 O 0.5925 0.7045 0.9346
17 O 0.6785 0.5000 0.3215
18 O 0.7045 0.9346 0.5925
19 O 0.9251 0.5000 0.0749
20 O 0.9346 0.5925 0.7045

***

Density functional theory data (PBE) for crystalline Cs3ErTe2O9 at its relaxed geometry.

Computed properties:
Raw formation energy: -1.50 eV per atom
Space-group type: No. 164

abc: 6.0460 6.0460 7.3997
angles: 90.00 90.00 120.00
Element x y z (fractional)
1 Cs 0.0000 0.0000 0.0000
2 Cs 0.3333 0.6667 0.6686
3 Cs 0.6667 0.3333 0.3314
4 Er 0.0000 0.0000 0.5000
5 Te 0.3333 0.6667 0.1732
6 Te 0.6667 0.3333 0.8268
7 O 0.0000 0.5000 0.0000
8 O 0.1792 0.3584 0.3172
9 O 0.1792 0.8208 0.3172
10 O 0.3584 0.1792 0.6828
11 O 0.5000 0.0000 0.0000
12 O 0.5000 0.5000 0.0000
13 O 0.6416 0.8208 0.3172
14 O 0.8208 0.1792 0.6828
15 O 0.8208 0.6416 0.6828

***

Density functional theory data (PBE) for crystalline Cs2ErTeO6 at its relaxed geometry.

Computed properties:
Raw formation energy: -1.73 eV per atom
Space-group type: No. 164

abc: 6.8580 6.8580 5.8440
angles: 90.00 90.00 120.00
Element x y z (fractional)
1 Cs 0.3333 0.6667 0.3660
2 Cs 0.6667 0.3333 0.6340
3 Er 0.0000 0.0000 0.0000
4 Te 0.0000 0.0000 0.5000
5 O 0.1294 0.2589 0.7090
6 O 0.1294 0.8706 0.7090
7 O 0.2589 0.1294 0.2910
8 O 0.7411 0.8706 0.7090
9 O 0.8706 0.1294 0.2910
10 O 0.8706 0.7411 0.2910

***

Density functional theory data (PBE) for crystalline Cs2ErTe2O6 at its relaxed geometry.

Computed properties:
Raw formation energy: -1.65 eV per atom
Space-group type: No. 12

abc: 6.0763 6.0763 7.5807
angles: 106.65 106.65 65.46
Element x y z (fractional)
1 Cs 0.2014 0.2014 0.1373
2 Cs 0.7986 0.7986 0.8627
3 Er 0.0000 0.0000 0.5000
4 Te 0.4159 0.4159 0.7356
5 Te 0.5841 0.5841 0.2644
6 O 0.2309 0.7439 0.2817
7 O 0.2323 0.2323 0.5528
8 O 0.2561 0.7691 0.7183
9 O 0.7439 0.2309 0.2817
10 O 0.7677 0.7677 0.4472
11 O 0.7691 0.2561 0.7183

***

Density functional theory data (PBE) for crystalline Cs2ErTiO4 at its relaxed geometry.

Computed properties:
Raw formation energy: -2.30 eV per atom
Space-group type: No. 70

abc: 13.7864 12.3580 7.3954
angles: 84.55 63.17 32.28
Element x y z (fractional)
1 Cs 0.0535 0.0535 0.6965
2 Cs 0.3035 0.3035 0.9465
3 Cs 0.6965 0.6965 0.0535
4 Cs 0.9465 0.9465 0.3035
5 Er 0.1250 0.1250 0.1250
6 Er 0.8750 0.8750 0.8750
7 Ti 0.3750 0.3750 0.3750
8 Ti 0.6250 0.6250 0.6250
9 O 0.0484 0.6266 0.5502
10 O 0.2747 0.5502 0.6266
11 O 0.3734 0.9516 0.7253
12 O 0.4498 0.7253 0.9516
13 O 0.5502 0.2747 0.0484
14 O 0.6266 0.0484 0.2747
15 O 0.7253 0.4498 0.3734
16 O 0.9516 0.3734 0.4498